Record 1
# KInOs2

An optimized crystal structure of KInOs2 (GGA-PBEsol, the Alexandria database).

Results
Total moment = 0.01 μB/f.u.
Energy of formation = 6.19 eV per formula unit
V = 72.56 Å³/cell
Symmetry = I4/mmm
Total energy = -5.59 eV/atom

The structure in POSCAR format:
```
KInOs2
1.0
3.963 0.000 0.000
0.000 3.963 0.000
-1.982 -1.982 4.620
K Os In
1 2 1
Direct
0.000 0.000 0.000 K
0.750 0.250 0.500 Os
0.250 0.750 0.500 Os
0.500 0.500 0.000 In
```

=====

Record 2
# Li2PtBr

An optimized crystal structure of Li2PtBr (GGA-PBEsol, the Alexandria database).

Results
Total moment = 0.00 μB/f.u.
Raw formation energy = -401 meV/atom
V = 132.49 Å³/cell
Symmetry = I-42d
Total energy = -3.59 eV/atom

The structure in POSCAR format:
```
Li2PtBr
1.0
5.459 0.000 0.000
2.729 4.927 0.000
2.729 0.000 4.927
Pt Li Br
2 4 2
Direct
0.750 0.500 0.500 Pt
0.000 0.000 0.000 Pt
0.375 0.003 0.497 Li
0.622 0.503 0.003 Li
0.128 0.497 0.997 Li
0.875 0.997 0.503 Li
0.250 0.500 0.500 Br
0.500 0.000 0.000 Br
```

=====

Record 3
# Ba2CoTe

An optimized crystal structure of Ba2CoTe (GGA-PBEsol, the Alexandria database).

Results
Total moment = 1.03 μB/f.u.
Raw formation energy = 110 meV/atom
V = 116.17 Å³/cell
Symmetry = F-43m
Total energy = -3.78 eV/atom

The structure in POSCAR format:
```
Ba2CoTe
1.0
-5.294 -0.339 -1.364
-1.669 -3.800 -3.573
-3.005 -4.244 1.720
Co Ba Te
1 2 1
Direct
0.500 0.500 0.500 Co
0.750 0.750 0.750 Ba
0.000 0.000 0.000 Ba
0.250 0.250 0.250 Te
```

=====

Record 4
# ZrBe4Ir

An optimized crystal structure of ZrBe4Ir (GGA-PBEsol, the Alexandria database).

Results
Total moment = 0.00 μB/f.u.
Energy of formation = -2.80 eV per formula unit
V = 65.22 Å³/cell
Symmetry = F-43m
Total energy = -6.28 eV/atom

The structure in POSCAR format:
```
ZrBe4Ir
1.0
4.518 0.000 0.000
2.259 3.913 0.000
2.259 1.304 3.689
Be Ir Zr
4 1 1
Direct
0.375 0.375 0.876 Be
0.375 0.375 0.375 Be
0.876 0.375 0.375 Be
0.375 0.876 0.375 Be
0.750 0.750 0.750 Ir
0.000 0.000 0.000 Zr
```

=====

Record 5
# Sr2CrS2

An optimized crystal structure of Sr2CrS2 (GGA-PBEsol, the Alexandria database).

Results
Total moment = 4.15 μB/f.u.
Raw formation energy = -964 meV/atom
V = 160.11 Å³/cell
Symmetry = I4/mmm
Total energy = -5.50 eV/atom

The structure in POSCAR format:
```
Sr2CrS2
1.0
-3.369 -3.526 -3.244
5.772 -1.925 1.386
-4.020 -0.077 4.259
Sr Cr S
2 1 2
Direct
0.250 0.500 0.750 Sr
0.750 0.500 0.250 Sr
0.000 0.000 0.000 Cr
0.246 0.491 0.246 S
0.754 0.509 0.754 S
```

=====

Record 6
# K2NaH5C2O8

An optimized crystal structure of K2NaH5C2O8 (GGA-PBEsol, the Alexandria database).

Results
Total moment = 0.00 μB/f.u.
V = 837.24 Å³/cell
Symmetry = Pnma
Total energy = -6.00 eV/atom

The structure in POSCAR format:
```
K2NaH5C2O8
1.0
7.812 0.000 0.000
0.000 9.336 0.000
0.000 0.000 11.480
O C H K Na
32 8 20 8 4
Direct
0.250 0.256 0.937 O
0.250 0.808 0.250 O
0.250 0.017 0.911 O
0.250 0.517 0.589 O
0.458 0.458 0.836 O
0.250 0.488 0.377 O
0.250 0.160 0.756 O
0.750 0.744 0.063 O
0.750 0.340 0.256 O
0.458 0.958 0.664 O
0.750 0.740 0.557 O
0.250 0.760 0.057 O
0.750 0.840 0.244 O
0.750 0.512 0.623 O
0.250 0.988 0.123 O
0.542 0.542 0.164 O
0.250 0.308 0.250 O
0.750 0.244 0.437 O
0.250 0.260 0.443 O
0.750 0.483 0.411 O
0.958 0.042 0.336 O
0.042 0.958 0.664 O
0.750 0.240 0.943 O
0.750 0.983 0.089 O
0.750 0.012 0.877 O
0.750 0.692 0.750 O
0.250 0.660 0.744 O
0.958 0.542 0.164 O
0.250 0.756 0.563 O
0.042 0.458 0.836 O
0.542 0.042 0.336 O
0.750 0.192 0.750 O
0.250 0.646 0.632 C
0.750 0.354 0.368 C
0.750 0.655 0.644 C
0.250 0.146 0.868 C
0.250 0.845 0.144 C
0.750 0.155 0.856 C
0.750 0.854 0.132 C
0.250 0.345 0.356 C
0.250 0.505 0.473 H
0.377 0.027 0.702 H
0.250 0.005 0.027 H
0.617 0.115 0.375 H
0.123 0.527 0.798 H
0.877 0.973 0.298 H
0.623 0.473 0.202 H
0.617 0.615 0.125 H
0.623 0.973 0.298 H
0.117 0.385 0.875 H
0.750 0.995 0.973 H
0.123 0.027 0.702 H
0.377 0.527 0.798 H
0.383 0.885 0.625 H
0.383 0.385 0.875 H
0.750 0.495 0.527 H
0.883 0.115 0.375 H
0.877 0.473 0.202 H
0.117 0.885 0.625 H
0.883 0.615 0.125 H
0.989 0.207 0.117 K
0.011 0.293 0.617 K
0.511 0.707 0.383 K
0.011 0.793 0.883 K
0.489 0.293 0.617 K
0.989 0.707 0.383 K
0.489 0.793 0.883 K
0.511 0.207 0.117 K
0.250 0.549 0.167 Na
0.250 0.049 0.333 Na
0.750 0.451 0.833 Na
0.750 0.951 0.667 Na
```

=====

Record 7
# ZrSnPO2

An optimized crystal structure of ZrSnPO2 (GGA-PBEsol, the Alexandria database).

Results
Total moment = 0.00 μB/f.u.
Raw formation energy = -757 meV/atom
V = 80.15 Å³/cell
Symmetry = P4/mmm
Total energy = -6.69 eV/atom

The structure in POSCAR format:
```
ZrSnPO2
1.0
-2.426 0.389 -3.061
3.032 -0.420 -2.457
-0.757 -5.147 -0.055
Sn Zr O P
1 1 2 1
Direct
0.000 0.000 0.000 Sn
0.500 0.500 0.500 Zr
0.000 0.500 0.000 O
0.500 0.000 0.000 O
0.000 0.000 0.500 P
```

=====

Record 8
# TlZnMo

An optimized crystal structure of TlZnMo (GGA-PBEsol, the Alexandria database).

Results
Total moment = 2.05 μB/f.u.
Energy of formation = 2.78 eV per formula unit
V = 57.48 Å³/cell
Symmetry = F-43m
Total energy = -4.40 eV/atom

The structure in POSCAR format:
```
TlZnMo
1.0
-0.160 1.151 -4.173
3.518 -0.404 -2.494
0.128 -3.033 -3.090
Tl Zn Mo
1 1 1
Direct
0.500 0.500 0.500 Tl
0.250 0.250 0.250 Zn
0.000 0.000 0.000 Mo
```